## PmPr9Y2 (GGA-PBE)

Data for a geometry-optimized PmPr9Y2 structure.

Results
Energy of formation: 0.01 eV/atom

Geometry as POSCAR:
```
PmPr9Y2
1.0
5.2115 0.0000 0.0000
0.0000 5.2115 0.0000
0.0000 0.0000 15.6346
Pr Y Pm
9 2 1
direct
0.0000 0.5000 0.8325
0.5000 0.5000 0.3343
0.0000 0.5000 0.1675
0.0000 0.5000 0.5000
0.5000 0.0000 0.5000
0.5000 0.0000 0.8325
0.5000 0.0000 0.1675
0.5000 0.5000 0.6657
0.5000 0.5000 0.0000
0.0000 0.0000 0.6659
0.0000 0.0000 0.3341
0.0000 0.0000 0.0000
```

=====

## CoSbPt (GGA-PBE)

Data for a geometry-optimized CoSbPt structure.

Results
Raw formation energy: 60 meV/atom

Geometry as POSCAR:
```
CoSbPt
1.0
-4.3367 -0.6265 1.6073
-4.1844 -0.7046 -1.9442
-0.9498 -3.4262 0.0341
Sb Co Pt
1 1 1
direct
0.6704 0.6704 0.3296
0.9934 0.9934 0.0066
0.3362 0.3362 0.6638
```

=====

## Al2GaPd (GGA-PBE)

Data for a geometry-optimized Al2GaPd structure.

Results
Energy of formation: -0.38 eV/atom

Geometry as POSCAR:
```
Al2GaPd
1.0
-4.1150 0.8391 0.7104
-2.9029 -3.0919 -0.3944
-1.8143 -1.7881 4.3715
Ga Al Pd
1 2 1
direct
0.4869 0.4869 0.5394
0.0628 0.0628 0.8117
0.2723 0.2723 0.1832
0.6781 0.6781 0.9657
```

=====

## RbCaAu10 (GGA-PBE)

Data for a geometry-optimized RbCaAu10 structure.

Results
Energy of formation: -0.29 eV/atom

Geometry as POSCAR:
```
RbCaAu10
1.0
4.6407 0.0000 0.0000
0.0000 5.6965 0.0000
0.0000 0.0000 9.9934
Au Rb Ca
10 1 1
direct
0.5000 0.7466 0.7433
0.5000 0.2534 0.2567
0.0000 0.5000 0.8197
0.5000 0.5000 0.0000
0.5000 0.7466 0.2567
0.0000 0.5000 0.1803
0.5000 0.0000 0.5000
0.0000 0.0000 0.3418
0.5000 0.2534 0.7433
0.0000 0.0000 0.6582
0.0000 0.0000 0.0000
0.0000 0.5000 0.5000
```

=====

## SrNdEuSbO6 (GGA-PBE)

Data for a geometry-optimized SrNdEuSbO6 structure.

Results
Raw formation energy: -2594 meV/atom

Geometry as POSCAR:
```
SrNdEuSbO6
1.0
5.9081 0.0050 0.0014
-0.0088 6.0548 0.0015
-0.0543 -0.0164 8.4447
O Sb Sr Nd Eu
12 2 2 2 2
direct
0.2740 0.6892 0.5522
0.1032 0.4675 0.2709
0.6816 0.2766 0.0568
0.7756 0.8115 0.0459
0.8148 0.7730 0.4443
0.7260 0.3108 0.4478
0.5934 0.0408 0.7706
0.2244 0.1885 0.9541
0.1852 0.2270 0.5557
0.3184 0.7234 0.9432
0.8968 0.5325 0.7291
0.4066 0.9592 0.2294
0.0000 0.5000 0.5000
0.5000 0.0000 0.0000
0.0117 0.9556 0.7507
0.9883 0.0444 0.2493
0.5000 0.0000 0.5000
0.0000 0.5000 0.0000
0.4857 0.4549 0.7501
0.5143 0.5451 0.2499
```

=====

## La2Pm3Pt2 (GGA-PBE)

Data for a geometry-optimized La2Pm3Pt2 structure.

Results
Energy of formation: -0.72 eV/atom

Geometry as POSCAR:
```
La2Pm3Pt2
1.0
-2.1340 1.7512 -2.7521
-2.4566 -6.0766 0.7987
-3.0366 6.2217 6.3137
Pt Pm La
2 3 2
direct
0.8298 0.6595 0.7616
0.1702 0.3405 0.2384
0.3837 0.7674 0.5682
0.5000 0.0000 0.0000
0.6163 0.2326 0.4318
0.8354 0.6708 0.1874
0.1646 0.3292 0.8126
```

=====

## CsW2I (GGA-PBE)

Data for a geometry-optimized CsW2I structure.

Results
Raw formation energy: 2574 meV/atom

Geometry as POSCAR:
```
CsW2I
1.0
0.0000 3.4786 3.4786
3.4786 0.0000 3.4786
3.4786 3.4786 0.0000
W I Cs
2 1 1
direct
0.7500 0.7500 0.7500
0.2500 0.2500 0.2500
0.0000 0.0000 0.0000
0.5000 0.5000 0.5000
```

=====

## BaScTe2 (GGA-PBE)

Data for a geometry-optimized BaScTe2 structure.

Results
Raw formation energy: -1388 meV/atom

Geometry as POSCAR:
```
BaScTe2
1.0
-0.5297 4.4199 0.2979
-4.0883 1.7746 -0.2049
-2.1765 1.4661 7.6908
Te Sc Ba
2 1 1
direct
0.9843 0.9843 0.0469
0.5157 0.5157 0.4531
0.2500 0.2500 0.2500
0.7500 0.7500 0.7500
```

=====

## BaLi2B (GGA-PBE)

Data for a geometry-optimized BaLi2B structure.

Results
Energy of formation: 0.56 eV/atom

Geometry as POSCAR:
```
BaLi2B
1.0
5.1207 0.0000 0.0000
0.0000 5.1207 0.0000
2.5603 2.5603 7.2955
Li B Ba
4 2 2
direct
0.3750 0.6248 0.7500
0.3748 0.6250 0.2500
0.8750 0.6252 0.7500
0.3752 0.1250 0.2500
0.2500 0.7500 0.5000
0.5000 0.5000 0.0000
0.7500 0.2500 0.5000
0.0000 0.0000 0.0000
```

=====

## TaIr2Se (GGA-PBE)

Data for a geometry-optimized TaIr2Se structure.

Results
Raw formation energy: 31 meV/atom

Geometry as POSCAR:
```
TaIr2Se
1.0
-3.5575 -2.2651 2.5578
-3.1830 -2.2066 -3.0541
4.9203 -0.1094 0.3272
Ir Ta Se
2 1 1
direct
0.5000 0.5000 0.0000
0.0000 0.0000 0.0000
0.7500 0.2500 0.5000
0.2500 0.7500 0.5000
```

=====

## YZn2Cd6 (GGA-PBE)

Data for a geometry-optimized YZn2Cd6 structure.

Results
Energy of formation: -0.13 eV/atom

Geometry as POSCAR:
```
YZn2Cd6
1.0
4.3378 0.0000 0.0000
0.0000 4.3378 0.0000
0.0000 0.0000 10.2629
Y Zn Cd
1 2 6
direct
0.0000 0.0000 0.0000
0.5000 0.5000 0.8845
0.5000 0.5000 0.1155
0.5000 0.0000 0.2775
0.5000 0.0000 0.7225
0.5000 0.5000 0.5000
0.0000 0.5000 0.7225
0.0000 0.0000 0.5000
0.0000 0.5000 0.2775
```

=====

## ZrAlCu2 (GGA-PBE)

Data for a geometry-optimized ZrAlCu2 structure.

Results
Energy of formation: -0.14 eV/atom

Geometry as POSCAR:
```
ZrAlCu2
1.0
2.0649 -6.2544 0.0000
2.0649 6.2544 0.0000
0.0000 0.0000 5.0087
Zr Cu Al
2 4 2
direct
0.7136 0.2864 0.7500
0.2864 0.7136 0.2500
0.9034 0.0966 0.4910
0.9034 0.0966 0.0090
0.0966 0.9034 0.9910
0.0966 0.9034 0.5090
0.5511 0.4489 0.2500
0.4489 0.5511 0.7500
```

=====

## Pr2ZnP3Rh4 (GGA-PBE)

Data for a geometry-optimized Pr2ZnP3Rh4 structure.

Results
Energy of formation: -0.99 eV/atom

Geometry as POSCAR:
```
Pr2ZnP3Rh4
1.0
-0.9827 4.0260 -0.2813
-3.7242 -0.7931 1.6599
3.7111 1.5391 9.0615
Rh Pr P Zn
4 2 3 1
direct
0.0000 0.0000 0.0000
0.5000 0.5000 0.0000
0.0000 0.5000 0.3690
0.5000 0.0000 0.6310
0.5000 0.0000 0.2530
0.0000 0.5000 0.7470
0.0000 0.0000 0.5000
0.0000 0.5000 0.1340
0.5000 0.0000 0.8660
0.5000 0.5000 0.5000
```

=====

## Pm2PrPd9 (GGA-PBE)

Data for a geometry-optimized Pm2PrPd9 structure.

Results
Energy of formation: -0.77 eV/atom

Geometry as POSCAR:
```
Pm2PrPd9
1.0
-0.5945 2.7512 -3.1162
-2.6689 -2.6661 -1.8445
-9.5549 5.1550 6.3741
Pd Pr Pm
9 1 2
direct
0.5000 0.0000 0.5000
0.0000 0.5000 0.5000
0.5000 0.0000 0.1689
0.5000 0.5000 0.0000
0.5000 0.5000 0.6659
0.0000 0.5000 0.1689
0.5000 0.5000 0.3341
0.5000 0.0000 0.8311
0.0000 0.5000 0.8311
0.0000 0.0000 0.0000
0.0000 0.0000 0.6654
0.0000 0.0000 0.3346
```

=====

## NdScGa (GGA-PBE)

Data for a geometry-optimized NdScGa structure.

Results
Energy of formation: -0.44 eV/atom

Geometry as POSCAR:
```
NdScGa
1.0
-1.5942 -3.2204 -2.6729
2.8147 1.2917 -3.2350
5.2939 -4.8398 2.6737
Sc Nd Ga
2 2 2
direct
0.5000 0.5000 0.5000
0.0000 0.0000 0.5000
0.5000 0.0000 0.1467
0.0000 0.5000 0.8533
0.0000 0.5000 0.2616
0.5000 0.0000 0.7384
```

=====

## AcZnGa2Pt2 (GGA-PBE)

Data for a geometry-optimized AcZnGa2Pt2 structure.

Results
Energy of formation: -0.79 eV/atom

Geometry as POSCAR:
```
AcZnGa2Pt2
1.0
-1.0983 0.2519 -4.2755
-1.5825 -3.2863 2.4991
-5.6637 4.0134 1.6913
Ga Zn Pt Ac
2 1 2 1
direct
0.3333 0.6667 0.3193
0.6667 0.3333 0.6807
0.0000 0.0000 0.5000
0.3333 0.6667 0.6946
0.6667 0.3333 0.3054
0.0000 0.0000 0.0000
```

=====

For each record above, in turn, the calculated DOS(E_F) values are 20.67, 5.94, 1.10, 3.53, 22.58, 8.80, 2.52, 2.45, 3.50, 3.11, 4.19, 2.25, 5.45, 8.21, 3.20, 2.67 states/eV/f.u..
For each record above, in turn, the calculated VASP energy values are -5.05, -5.70, -4.30, -3.27, -7.65, -5.89, -4.50, -5.02, -2.55, -8.23, -1.74, -5.26, -6.64, -5.85, -5.15, -4.71 eV per atom.